(1)
Below is crystalline ErCdHg2 at its relaxed geometry, with properties calculated at the PBE level.

Energy = -1.78 eV/atom

Cell lengths 3.671, 3.671, 7.101 Å; angles 90.00, 90.00, 90.00 degrees
Space group P4/mmm (No. 123)
One atom of each set of equivalent atoms:
Er: 0.000 0.000 0.000 [1 per cell]
Cd: 0.000 0.000 0.500 [1 per cell]
Hg: 0.500 0.500 0.252 [2 per cell]

---

(2)
Below is crystalline Cr2TeIr at its relaxed geometry, with properties calculated at the PBE level.

Uncorrected formation energy = 0.5112 eV/atom
Energy = -7.30 eV/atom

Cell lengths 2.9705, 2.9705, 24.5570 Å; angles 90.00, 90.00, 120.00 degrees
Space group R3m (No. 160, hexagonal axes)
One atom of each set of equivalent atoms:
Cr: 0.0000 0.0000 0.0000 [3 per cell]
Cr: 0.0000 0.0000 0.2682 [3 per cell]
Te: 0.0000 0.0000 0.5115 [3 per cell]
Ir: 0.0000 0.0000 0.7467 [3 per cell]

---

(3)
Below is crystalline CuAs2F2 at its relaxed geometry, with properties calculated at the PBE level.

Energy relative to the lowest polymorph listed for this composition = 42.0 kJ per mole of atoms
Uncorrected formation energy = -0.4602 eV/atom
Energy = -3.89 eV/atom

Cell lengths 7.434, 7.434, 2.603 Å; angles 90.00, 90.00, 90.00 degrees
Space group P4/mbm (No. 127)
One atom of each set of equivalent atoms:
Cu: 0.000 0.000 0.000 [2 per cell]
As: 0.217 0.283 0.500 [4 per cell]
F: 0.116 0.616 0.000 [4 per cell]

---

(4)
Below is crystalline Nd2HoTm at its relaxed geometry, with properties calculated at the PBE level.

Energy relative to the lowest polymorph listed for this composition = 0.7 kJ per mole of atoms
Energy = -4.62 eV/atom

Cell lengths 5.760, 7.340, 6.298 Å; angles 90.00, 90.00, 90.00 degrees
Space group Pmmn (No. 59, origin choice 2)
One atom of each set of equivalent atoms:
Nd: 0.250 0.001 0.170 [4 per cell]
Ho: 0.250 0.250 0.664 [2 per cell]
Tm: 0.250 0.750 0.665 [2 per cell]

---

(5)
Below is crystalline SrHAuF2 at its relaxed geometry, with properties calculated at the PBE level.

Energy = -4.00 eV/atom

Cell lengths 4.624, 4.624, 3.451 Å; angles 90.00, 90.00, 90.00 degrees
Space group P4/mmm (No. 123)
One atom of each set of equivalent atoms:
Sr: 0.000 0.000 0.000 [1 per cell]
H: 0.500 0.500 0.500 [1 per cell]
Au: 0.500 0.500 0.000 [1 per cell]
F: 0.000 0.500 0.500 [2 per cell]

---

(6)
Below is crystalline LiCuRu2 at its relaxed geometry, with properties calculated at the PBE level.

Energy relative to the lowest polymorph listed for this composition = 11.8 kJ per mole of atoms
Energy = -5.88 eV/atom

Cell lengths 2.6464, 2.6464, 26.7911 Å; angles 90.00, 90.00, 120.00 degrees
Space group R-3m (No. 166, hexagonal axes)
One atom of each set of equivalent atoms:
Li: 0.0000 0.0000 0.0000 [3 per cell]
Cu: 0.0000 0.0000 0.5000 [3 per cell]
Ru: 0.0000 0.0000 0.2478 [6 per cell]

---

(7)
Below is crystalline SrFeHg at its relaxed geometry, with properties calculated at the PBE level.

Energy = -2.66 eV/atom

Cell lengths 7.345, 7.345, 7.345 Å; angles 90.00, 90.00, 90.00 degrees
Space group F-43m (No. 216)
One atom of each set of equivalent atoms:
Sr: 0.000 0.000 0.000 [4 per cell]
Fe: 0.250 0.250 0.250 [4 per cell]
Hg: 0.250 0.250 0.750 [4 per cell]

---

(8)
Below is crystalline Sr6Sn2SN at its relaxed geometry, with properties calculated at the PBE level.

Uncorrected formation energy = -0.9194 eV/atom
Energy = -3.97 eV/atom

Cell lengths 7.716, 10.905, 7.716 Å; angles 90.00, 90.00, 90.00 degrees
Space group Pmmn (No. 59, origin choice 2)
One atom of each set of equivalent atoms:
Sr: 0.014 0.250 0.014 [4 per cell]
Sr: 0.014 0.250 0.486 [4 per cell]
Sr: 0.250 0.014 0.250 [4 per cell]
Sn: 0.250 0.000 0.750 [4 per cell]
S: 0.250 0.750 0.250 [2 per cell]
N: 0.250 0.250 0.250 [2 per cell]

---

(9)
Below is crystalline Ta2SiHg at its relaxed geometry, with properties calculated at the PBE level.

Uncorrected formation energy = 0.1828 eV/atom
Energy = -7.17 eV/atom

Cell lengths 3.544, 3.544, 5.773 Å; angles 90.00, 90.00, 90.00 degrees
Space group P4mm (No. 99)
One atom of each set of equivalent atoms:
Ta: 0.000 0.000 0.000 [1 per cell]
Ta: 0.500 0.500 0.226 [1 per cell]
Si: 0.500 0.500 0.763 [1 per cell]
Hg: 0.000 0.000 0.508 [1 per cell]

---

(10)
Below is crystalline AlCoTe2 at its relaxed geometry, with properties calculated at the PBE level.

Uncorrected formation energy = 0.4188 eV/atom
Energy = -3.86 eV/atom

Cell lengths 3.801, 3.801, 15.124 Å; angles 90.00, 90.00, 90.00 degrees
Space group I-4m2 (No. 119)
One atom of each set of equivalent atoms:
Al: 0.000 0.000 0.000 [2 per cell]
Co: 0.000 0.500 0.750 [2 per cell]
Te: 0.000 0.000 0.500 [2 per cell]
Te: 0.000 0.500 0.250 [2 per cell]

---

(11)
Below is crystalline GaAu2NF at its relaxed geometry, with properties calculated at the PBE level.

Uncorrected formation energy = 0.2022 eV/atom
Energy = -3.75 eV/atom

Cell lengths 4.050, 4.050, 6.382 Å; angles 90.00, 90.00, 90.00 degrees
Space group P4/mmm (No. 123)
One atom of each set of equivalent atoms:
Ga: 0.000 0.000 0.000 [1 per cell]
Au: 0.000 0.500 0.500 [2 per cell]
N: 0.500 0.500 0.500 [1 per cell]
F: 0.500 0.500 0.000 [1 per cell]

---

(12)
Below is crystalline BaPmSn at its relaxed geometry, with properties calculated at the PBE level.

Energy relative to the lowest polymorph listed for this composition = 0.0 kJ per mole of atoms
Energy = -4.13 eV/atom

Cell lengths 5.130, 5.130, 8.899 Å; angles 90.00, 90.00, 90.00 degrees
Space group P4/nmm (No. 129, origin choice 2)
One atom of each set of equivalent atoms:
Ba: 0.250 0.250 0.145 [2 per cell]
Pm: 0.250 0.750 0.500 [2 per cell]
Sn: 0.250 0.250 0.731 [2 per cell]